Density functional theory data (GGA-PBE) for an optimized crystal structure of PmCdPt2.

```
PmCdPt2
1.0
3.653 0.000 0.000
0.000 3.653 0.000
0.000 0.000 6.112
Pm Cd Pt
1 1 2
direct
0.000 0.000 0.000
0.000 0.000 0.500
0.500 0.500 0.267
0.500 0.500 0.733
```

## Properties
The formation energy comes out at -0.745 eV per atom. The value obtained for the density of states at the Fermi level is 1.1 states/eV/f.u. For the energy, the calculation gives -5.18 eV/atom.